PBE DyAlPb, relaxed; ΔE_f = -292 meV/atom; space group = No. 166; calculated density = 8.144 g/cm³
1.0
4.425 0.000 0.000
2.213 3.832 0.000
2.213 1.277 9.538
Al Dy Pb
2 2 2
Cartesian
2.213 1.277 4.921
6.638 3.832 4.617
4.425 2.555 6.707
4.425 2.555 2.831
6.638 3.832 8.713
2.213 1.277 0.825

PBE KAc2ZnSe4, relaxed; formation energy without anion corrections = -1.5028 eV per atom; space group = No. 63; calculated density = 5.617 g/cm³
1.0
4.472 0.000 0.000
-2.236 7.572 0.000
0.000 0.000 15.267
Zn Se Ac K
2 8 4 2
Cartesian
2.236 5.190 11.450
0.000 2.382 3.817
0.000 4.013 5.794
2.236 3.559 13.427
2.236 3.559 9.473
2.236 1.093 3.817
0.000 6.479 11.450
0.000 4.013 1.840
0.000 0.000 7.634
0.000 0.000 0.000
0.000 5.599 8.472
2.236 1.972 0.839
2.236 1.972 6.795
0.000 5.599 14.428
2.236 5.887 3.817
0.000 1.685 11.450

PBE La2Pm5Sn4, relaxed; ΔE_f = -155 meV/atom; space group = No. 12; calculated density = 6.480 g/cm³
1.0
4.022 0.000 0.000
0.000 8.070 0.517
-2.011 -2.239 11.522
La Pm Sn
2 5 4
Cartesian
0.000 1.430 6.244
2.011 4.401 5.795
2.011 0.000 0.000
0.000 2.712 2.952
0.000 7.113 4.184
2.011 -1.282 7.856
2.011 3.119 9.088
2.011 5.181 2.702
0.000 0.650 9.337
0.000 5.519 0.663
2.011 0.312 11.377